# 1
Computed, not measured: KMnBiSe3 after structural relaxation at the PBE level of DFT.

Output
The formation energy from raw total energies is -0.66 eV/atom. The total magnetic moment comes out at 5.0 μB per formula unit.

a b c (Å): 4.281 9.402 9.804
angles (deg): 104.98 90.00 90.00
Each line ends with the local moment (μB).
Positions (direct):
Se: 0.750 0.879 0.133  0.04
Se: 0.250 0.556 0.842  0.01
Se: 0.750 0.193 0.518  0.11
Se: 0.250 0.121 0.867  0.04
Se: 0.750 0.444 0.158  0.01
Se: 0.250 0.807 0.482  0.11
K: 0.750 0.811 0.771  0.00
K: 0.250 0.189 0.229  0.00
Bi: 0.250 0.661 0.137  0.02
Bi: 0.750 0.339 0.863  0.02
Mn: 0.750 0.911 0.394  4.24
Mn: 0.250 0.089 0.606  4.24

# 2
Computed, not measured: Pr4Sm15Al after structural relaxation at the PBE level of DFT.

Output
The total magnetic moment comes out at 0.0 μB per formula unit. The energy of formation comes out at -0.01 eV/atom.

a b c (Å): 5.079 5.079 25.734
angles (deg): 90.00 90.00 90.00
Positions (direct):
Sm: 0.000 0.500 0.092
Sm: 0.500 0.000 0.704
Sm: 0.500 0.500 0.193
Sm: 0.500 0.500 0.807
Sm: 0.500 0.500 0.000
Sm: 0.500 0.000 0.296
Sm: 0.500 0.000 0.500
Sm: 0.000 0.500 0.908
Sm: 0.500 0.500 0.602
Sm: 0.500 0.500 0.398
Sm: 0.000 0.500 0.500
Sm: 0.000 0.500 0.296
Sm: 0.500 0.000 0.092
Sm: 0.500 0.000 0.908
Sm: 0.000 0.500 0.704
Pr: 0.000 0.000 0.601
Pr: 0.000 0.000 0.399
Pr: 0.000 0.000 0.805
Pr: 0.000 0.000 0.195
Al: 0.000 0.000 0.000

Going through the records in order, we get total DFT energy (no corrections) values of -4.76, -4.69 eV per atom.